Entry 1:
Li2UTiSe4 | Alexandria | PBE | relaxed; symmetry = P2/m, No. 10; spin magnetization = 4.0 μB per cell
1.0
-1.039 -2.340 2.927
-1.778 -4.681 -4.374
6.671 -0.927 1.628
Li U Ti Se
2 1 1 4
direct
0.500 0.000 0.500
0.000 0.500 0.500
0.000 0.000 0.000
0.500 0.500 0.000
0.500 0.268 0.256
0.500 0.732 0.744
0.000 0.269 0.758
0.000 0.731 0.242

Entry 2:
Li3U2TiSe6 | Alexandria | PBE | relaxed; symmetry = C2/m, No. 12; spin magnetization = 7.0 μB per cell
1.0
-3.593 0.270 -1.563
2.633 -3.588 -6.671
-0.916 -6.558 5.904
Li U Ti Se
3 2 1 6
direct
0.500 0.500 0.000
0.833 0.170 0.667
0.167 0.830 0.333
0.837 0.678 0.675
0.163 0.322 0.325
0.500 0.000 0.000
0.339 0.935 0.677
0.664 0.587 0.328
0.661 0.065 0.323
0.995 0.231 0.989
0.005 0.769 0.011
0.336 0.413 0.672

no.,V (Å³ per cell),calculated total energy (eV per atom)
1,170,-5.8081
2,263,-5.9461